<P>
First-principles (PBE) data for a geometry-optimized BiPdN2F structure, as listed in Alexandria via LeMat-Bulk.

Cell lengths 4.0770, 4.0770, 4.1416 Å; angles 90.00, 90.00, 90.00 degrees
Atoms (fractional coordinates):
Pd: 0.0000 0.0000 0.0000
Bi: 0.5000 0.5000 0.5000
N: 0.5000 0.0000 0.0000
N: 0.0000 0.5000 0.0000
F: 0.0000 0.0000 0.5000

Output
For the density of states at the Fermi level, the calculation gives 4.110 states/eV/f.u.

***

<Q>
First-principles (PBE) data for a geometry-optimized BiPdN2F structure, as listed in Alexandria via LeMat-Bulk.

Cell lengths 4.3523, 4.3523, 4.3116 Å; angles 90.00, 90.00, 90.00 degrees
Atoms (fractional coordinates):
Bi: 0.0000 0.0000 0.0000
N: 0.0000 0.5000 0.0000
N: 0.5000 0.0000 0.0000
F: 0.0000 0.0000 0.5000
Pd: 0.5000 0.5000 0.5000

Output
For the density of states at the Fermi level, the calculation gives 4.132 states/eV/f.u.

***

Tell me which of them is the most stable. Sure, it is <P>.

***

<P>
First-principles (PBE) data for a geometry-optimized RbBiNF2 structure, as listed in Alexandria via LeMat-Bulk.

Cell lengths 4.7984, 4.7984, 4.2232 Å; angles 90.00, 90.00, 90.00 degrees
Atoms (fractional coordinates):
Rb: 0.5000 0.5000 0.5000
N: 0.0000 0.0000 0.5000
F: 0.0000 0.5000 0.0000
F: 0.5000 0.0000 0.0000
Bi: 0.0000 0.0000 0.0000

Output
For the density of states at the Fermi level, the calculation gives 0.918 states/eV/f.u.

***

<Q>
First-principles (PBE) data for a geometry-optimized RbBiNF2 structure, as listed in Alexandria via LeMat-Bulk.

Cell lengths 4.7138, 4.7138, 4.6609 Å; angles 90.00, 90.00, 90.00 degrees
Atoms (fractional coordinates):
Bi: 0.5000 0.5000 0.5000
Rb: 0.0000 0.0000 0.0000
N: 0.0000 0.0000 0.5000
F: 0.0000 0.5000 0.0000
F: 0.5000 0.0000 0.0000

Output
For the density of states at the Fermi level, the calculation gives 1.393 states/eV/f.u.

***

Tell me which of them is the most stable. Sure, it is <P>.

***

<P>
First-principles (PBE) data for a geometry-optimized BiRhNF2 structure, as listed in Alexandria via LeMat-Bulk.

Cell lengths 4.5621, 4.5621, 3.6790 Å; angles 90.00, 90.00, 90.00 degrees
Atoms (fractional coordinates):
Bi: 0.5000 0.5000 0.5000
F: 0.0000 0.5000 0.0000
F: 0.5000 0.0000 0.0000
N: 0.0000 0.0000 0.5000
Rh: 0.0000 0.0000 0.0000

Output
For the density of states at the Fermi level, the calculation gives 2.635 states/eV/f.u.

***

<Q>
First-principles (PBE) data for a geometry-optimized BiRhNF2 structure, as listed in Alexandria via LeMat-Bulk.

Cell lengths 4.4949, 4.4949, 4.3682 Å; angles 90.00, 90.00, 90.00 degrees
Atoms (fractional coordinates):
Rh: 0.5000 0.5000 0.5000
Bi: 0.0000 0.0000 0.0000
N: 0.0000 0.0000 0.5000
F: 0.5000 0.0000 0.0000
F: 0.0000 0.5000 0.0000

Output
For the density of states at the Fermi level, the calculation gives 3.334 states/eV/f.u.

***

Tell me which of them is the most stable. Sure, it is <P>.

***

<P>
First-principles (PBE) data for a geometry-optimized BiRuNF2 structure, as listed in Alexandria via LeMat-Bulk.

Cell lengths 4.4384, 4.4384, 3.7409 Å; angles 90.00, 90.00, 90.00 degrees
Atoms (fractional coordinates):
F: 0.0000 0.5000 0.0000
F: 0.5000 0.0000 0.0000
Bi: 0.5000 0.5000 0.5000
N: 0.0000 0.0000 0.5000
Ru: 0.0000 0.0000 0.0000

Output
For the density of states at the Fermi level, the calculation gives 2.960 states/eV/f.u.

***

<Q>
First-principles (PBE) data for a geometry-optimized BiRuNF2 structure, as listed in Alexandria via LeMat-Bulk.

Cell lengths 4.4769, 4.4769, 4.5423 Å; angles 90.00, 90.00, 90.00 degrees
Atoms (fractional coordinates):
Bi: 0.0000 0.0000 0.0000
F: 0.0000 0.5000 0.0000
F: 0.5000 0.0000 0.0000
Ru: 0.5000 0.5000 0.5000
N: 0.0000 0.0000 0.5000

Output
For the density of states at the Fermi level, the calculation gives 7.064 states/eV/f.u.

***

Tell me which of them is the most stable. Sure, it is <P>.